Here is a geometry-optimized CaNiS structure from the Alexandria database. Energies are from GGA-PBE.

abc: 4.0448 4.0540 7.9151
angles: 94.22 90.56 109.70
Space group P1 (No. 1)
Symmetry-distinct sites (fractional):
Ca1 0.0000 0.0000 0.0000 [1 per cell]
Ca2 0.0609 0.0716 0.4313 [1 per cell]
Ni1 0.5160 0.9613 0.7022 [1 per cell]
Ni2 0.9210 0.5512 0.6964 [1 per cell]
S1 0.3822 0.4284 0.7535 [1 per cell]
S2 0.6867 0.3880 0.2156 [1 per cell]

Values from the calculation:
- Total magnetization: 0.000 μB per atom
- Calculated total energy: -4.9759 eV/atom
- Theoretical density: 3.6 g cm⁻³
- D(E_F): 0.000 states/eV/atom



Here is a geometry-optimized Ca2NiS structure from the Alexandria database. Energies are from GGA-PBE.

abc: 7.1984 7.1984 7.9129
angles: 90.00 90.00 90.00
Space group I-42d (No. 122)
Symmetry-distinct sites (fractional):
Ca1 0.2454 0.2500 0.1250 [8 per cell]
Ni1 0.0000 0.0000 0.5000 [4 per cell]
S1 0.0000 0.0000 0.0000 [4 per cell]

Values from the calculation:
- Total magnetization: 0.000 μB per atom
- Calculated total energy: -4.0899 eV/atom
- Theoretical density: 2.8 g cm⁻³
- D(E_F): 0.000 states/eV/atom



Here is a geometry-optimized CaNiS structure from the Alexandria database. Energies are from GGA-PBE.

abc: 4.3630 4.3630 6.1463
angles: 90.00 90.00 90.00
Space group P4/nmm (No. 129, origin choice 2)
Symmetry-distinct sites (fractional):
Ca1 0.2500 0.2500 0.1782 [2 per cell]
Ni1 0.2500 0.2500 0.6374 [2 per cell]
S1 0.2500 0.7500 0.5000 [2 per cell]

Values from the calculation:
- Total magnetization: 0.000 μB per atom
- Calculated total energy: -4.5569 eV/atom
- Theoretical density: 3.7 g cm⁻³
- D(E_F): 0.576 states/eV/atom



Here is a geometry-optimized Ca2Ni4S structure from the Alexandria database. Energies are from GGA-PBE.

abc: 4.1956 4.1956 14.8792
angles: 90.00 90.00 90.00
Space group I4/mmm (No. 139)
Symmetry-distinct sites (fractional):
Ca1 0.0000 0.0000 0.1562 [4 per cell]
Ni1 0.0000 0.0000 0.3612 [4 per cell]
Ni2 0.0000 0.5000 0.0000 [4 per cell]
S1 0.0000 0.0000 0.5000 [2 per cell]

Values from the calculation:
- Total magnetization: 0.000 μB per atom
- Calculated total energy: -4.5643 eV/atom
- Theoretical density: 4.4 g cm⁻³
- D(E_F): 0.833 states/eV/atom



Here is a geometry-optimized CaNiS2 structure from the Alexandria database. Energies are from GGA-PBE.

abc: 5.6948 5.6948 11.1599
angles: 90.00 90.00 90.00
Space group I-42d (No. 122)
Symmetry-distinct sites (fractional):
Ca1 0.0000 0.0000 0.0000 [4 per cell]
Ni1 0.0000 0.0000 0.5000 [4 per cell]
S1 0.1697 0.2500 0.6250 [8 per cell]

Values from the calculation:
- Total magnetization: 0.000 μB per atom
- Calculated total energy: -4.9457 eV/atom
- Theoretical density: 3.0 g cm⁻³
- D(E_F): 0.772 states/eV/atom



Here is a geometry-optimized CaNiS structure from the Alexandria database. Energies are from GGA-PBE.

abc: 7.7650 7.5399 4.4392
angles: 90.00 90.00 90.00
Space group Pnma (No. 62)
Symmetry-distinct sites (fractional):
Ca1 0.2497 0.2500 0.2499 [4 per cell]
Ni1 0.9996 0.2500 0.7180 [4 per cell]
S1 0.0000 0.0000 0.5000 [4 per cell]

Values from the calculation:
- Total magnetization: 0.000 μB per atom
- Calculated total energy: -4.6789 eV/atom
- Theoretical density: 3.3 g cm⁻³
- D(E_F): 0.419 states/eV/atom



Here is a geometry-optimized CaNiS structure from the Alexandria database. Energies are from GGA-PBE.

abc: 4.0273 3.8554 7.9165
angles: 90.00 104.67 90.00
Space group Pm (No. 6)
Symmetry-distinct sites (fractional):
Ca1 0.0000 0.0000 0.0000 [1 per cell]
Ca2 0.2813 0.0000 0.5641 [1 per cell]
Ni1 0.1520 0.5000 0.3061 [1 per cell]
Ni2 0.5650 0.5000 0.1313 [1 per cell]
S1 0.4255 0.5000 0.8487 [1 per cell]
S2 0.7076 0.5000 0.4181 [1 per cell]

Values from the calculation:
- Total magnetization: 0.000 μB per atom
- Calculated total energy: -4.9625 eV/atom
- Theoretical density: 3.7 g cm⁻³
- D(E_F): 0.384 states/eV/atom



Here is a geometry-optimized CaNiS structure from the Alexandria database. Energies are from GGA-PBE.

abc: 3.9591 3.8717 6.7279
angles: 90.00 90.00 90.00
Space group Amm2 (No. 38)
Symmetry-distinct sites (fractional):
Ca1 0.0000 0.0000 0.0000 [2 per cell]
Ni1 0.5000 0.0000 0.3337 [2 per cell]
S1 0.5000 0.0000 0.6662 [2 per cell]

Values from the calculation:
- Total magnetization: 0.000 μB per atom
- Calculated total energy: -5.0589 eV/atom
- Theoretical density: 4.2 g cm⁻³
- D(E_F): 0.420 states/eV/atom



Here is a geometry-optimized CaNi2S2 structure from the Alexandria database. Energies are from GGA-PBE.

abc: 4.3797 4.3797 8.3383
angles: 90.00 90.00 90.00
Space group I4/mmm (No. 139)
Symmetry-distinct sites (fractional):
Ca1 0.0000 0.0000 0.0000 [2 per cell]
Ni1 0.0000 0.0000 0.3386 [4 per cell]
S1 0.0000 0.5000 0.2500 [4 per cell]

Values from the calculation:
- Total magnetization: 0.000 μB per atom
- Calculated total energy: -5.0423 eV/atom
- Theoretical density: 4.6 g cm⁻³
- D(E_F): 0.788 states/eV/atom



Here is a geometry-optimized CaNiS structure from the Alexandria database. Energies are from GGA-PBE.

abc: 6.6987 4.0924 8.2085
angles: 90.00 90.00 90.00
Space group Pnma (No. 62)
Symmetry-distinct sites (fractional):
Ca1 0.1450 0.2500 0.1609 [4 per cell]
Ni1 0.0227 0.7500 0.4114 [4 per cell]
S1 0.1593 0.2500 0.8256 [4 per cell]

Values from the calculation:
- Total magnetization: 0.000 μB per atom
- Calculated total energy: -4.9517 eV/atom
- Theoretical density: 3.9 g cm⁻³
- D(E_F): 0.636 states/eV/atom



Here is a geometry-optimized CaNi2S5 structure from the Alexandria database. Energies are from GGA-PBE.

abc: 3.8922 13.0823 6.9437
angles: 90.00 90.00 90.00
Space group Pmmn (No. 59, origin choice 2)
Symmetry-distinct sites (fractional):
Ca1 0.2500 0.2500 0.0849 [2 per cell]
Ni1 0.2500 0.6025 0.4720 [4 per cell]
S1 0.2500 0.0599 0.3867 [4 per cell]
S2 0.2500 0.6699 0.1739 [4 per cell]
S3 0.2500 0.7500 0.6280 [2 per cell]

Values from the calculation:
- Total magnetization: 0.000 μB per atom
- Calculated total energy: -4.8827 eV/atom
- Theoretical density: 3.0 g cm⁻³
- D(E_F): 0.454 states/eV/atom



Here is a geometry-optimized CaNiS structure from the Alexandria database. Energies are from GGA-PBE.

abc: 4.0600 4.9229 7.4307
angles: 75.31 74.25 65.93
Space group P1 (No. 1)
Symmetry-distinct sites (fractional):
Ca1 0.0000 0.0000 0.0000 [1 per cell]
Ca2 0.3473 0.7846 0.5147 [1 per cell]
Ni1 0.1923 0.3876 0.2269 [1 per cell]
Ni2 0.6750 0.2250 0.4237 [1 per cell]
S1 0.6315 0.0163 0.7184 [1 per cell]
S2 0.6558 0.5292 0.1591 [1 per cell]

Values from the calculation:
- Total magnetization: 0.000 μB per atom
- Calculated total energy: -4.9500 eV/atom
- Theoretical density: 3.4 g cm⁻³
- D(E_F): 0.163 states/eV/atom



Here is a geometry-optimized CaNi4S8 structure from the Alexandria database. Energies are from GGA-PBE.

abc: 6.9836 6.9836 17.0241
angles: 90.00 90.00 120.00
Space group R-3m (No. 166, hexagonal axes)
Symmetry-distinct sites (fractional):
Ca1 0.0000 0.0000 0.0000 [3 per cell]
Ni1 0.0000 0.0000 0.5000 [3 per cell]
Ni2 0.0000 0.5000 0.0000 [9 per cell]
S1 0.0000 0.0000 0.2655 [6 per cell]
S2 0.0472 0.5236 0.2543 [18 per cell]

Values from the calculation:
- Total magnetization: 0.089 μB per atom
- Theoretical density: 3.7 g cm⁻³
- D(E_F): 0.724 states/eV/atom
- Energy relative to the lowest polymorph listed for this composition: 55 meV/atom